The following is a DFT calculation (PBEsol) of an optimized crystal structure of TeOs2Rh.

a b c (Å): 2.8953 3.7717 5.7628
angles (deg): 90.00 90.00 90.00
Closest atoms and distances in Å follow each position.
Space group Pmm2 (No. 25)
Unique sites:
Te  0.0000  0.0000  0.0000 x1  4 Rh 2.75, 6 Os 2.86-2.96, 2 Te 2.90
Os  0.0000  0.0000  0.5040 x1  6 Os 2.64-2.90, 4 Rh 2.80, 2 Te 2.86-2.90
Os  0.5000  0.5000  0.3054 x1  1 Rh 2.62, 6 Os 2.64-2.90
Rh  0.5000  0.5000  0.7605 x1  5 Os 2.62-2.80, 4 Te 2.75, 2 Rh 2.90

Summary:
Magnetic moment   0.00 μB/f.u.
Formation energy without anion corrections   1.9 eV/f.u.

The following is a DFT calculation (PBEsol) of an optimized crystal structure of TeOs2Rh.

a b c (Å): 4.0049 4.0049 7.6221
angles (deg): 90.00 90.00 90.00
Closest atoms and distances in Å follow each position.
Space group I-4m2 (No. 119)
Unique sites:
Te  0.0000  0.0000  0.0000 x2  8 Os 2.76-2.83, 4 Rh 2.76
Os  0.0000  0.0000  0.5000 x2  4 Rh 2.76, 4 Os 2.76, 4 Te 2.83
Os  0.0000  0.5000  0.2500 x2  4 Os 2.76, 4 Te 2.76, 4 Rh 2.83
Rh  0.0000  0.5000  0.7500 x2  8 Os 2.76-2.83, 4 Te 2.76

Summary:
Magnetic moment   0.00 μB/f.u.
Formation energy without anion corrections   2.3 eV/f.u.

The following is a DFT calculation (PBEsol) of an optimized crystal structure of TeOs2Rh.

a b c (Å): 4.5314 4.5314 3.0092
angles (deg): 90.00 90.00 90.00
Closest atoms and distances in Å follow each position.
Space group P4/mmm (No. 123)
Unique sites:
Te  0.0000  0.0000  0.0000 x1  8 Os 2.72, 2 Te 3.01
Os  0.0000  0.5000  0.5000 x2  4 Rh 2.72, 4 Te 2.72, 2 Os 3.01
Rh  0.5000  0.5000  0.0000 x1  8 Os 2.72, 2 Rh 3.01

Summary:
Magnetic moment   0.00 μB/f.u.
Formation energy without anion corrections   3.0 eV/f.u.